# Y2OsPt PBE-GGA optimized geometry
data_Y2OsPt
_chemical_formula_sum 'Y6 Os3 Pt3'
_cell_length_a 4.3415
_cell_length_b 4.3415
_cell_length_c 19.6386
_cell_angle_alpha 90.00
_cell_angle_beta 90.00
_cell_angle_gamma 120.00
_space_group_name_H-M_alt 'R 3 m'
_space_group_IT_number 160
_space_group_name_Hall 'R 3 -2"'
loop_
_atom_site_label
_atom_site_fract_x
_atom_site_fract_y
_atom_site_fract_z
Y1 0.0000 0.0000 0.0000
Y2 0.0000 0.0000 0.1770
Os1 0.0000 0.0000 0.7558
Pt1 0.0000 0.0000 0.4208
# - raw total energy (eV per atom) = -7.911
# - calculated volume (Å³ per atom) = 26.71
# - formation enthalpy at 0 K (kcal/mol of atoms) = -8.33